Material: SrCa2As2
Method: DFT, PBE
State: relaxed

Lattice parameters (Å, degrees): 4.712 4.712 7.666 72.10 72.10 90.00
Atoms (fractional coordinates):
Ca 0.750 0.250 0.500
Ca 0.250 0.750 0.500
Sr 0.000 0.000 0.000
As 0.375 0.375 0.249
As 0.625 0.625 0.751

N(E_F) = 0.0 states/eV/cell
E = -19.564 eV per cell
crystal system = tetragonal
space group = I4/mmm (139)